Rb2Li2MnF6: relaxed, PBE+U.

a b c (Å): 6.046 6.046 6.659
angles (deg): 63.00 63.00 60.00
Fractional coordinates of all 11 atoms:
Rb  0.781  0.781  0.657
Rb  0.219  0.219  0.343
Li  0.414  0.414  0.759
Li  0.586  0.586  0.241
Mn  0.000  0.000  0.000
F  0.760  0.760  0.232
F  0.248  0.760  0.232
F  0.760  0.248  0.232
F  0.240  0.752  0.768
F  0.752  0.240  0.768
F  0.240  0.240  0.768

Properties
size of the total moment	5.0	μB/f.u.
raw total energy	-54.9	eV for the cell shown